# 1
A plane-wave DFT calculation with PBE was carried out for a relaxed Ce4CoTc crystal.

offset from the most stable computed form: 0.0 kJ/mol of atoms
formation energy: -63 meV per atom
VASP energy: -6.93 eV/atom

a = 4.7000 Å, b = 7.0043 Å, c = 8.1866 Å
α = 90.00°, β = 94.14°, γ = 90.00°
Last column: nearest neighbours and their distance in Å.
Space group P2_1/m (No. 11)
Inequivalent atoms, fractional coordinates:
Ce (0.1400, 0.0113, 0.2333) [4 per cell]  1 Tc 2.72, 1 Ce 2.91, 1 Co 3.03
Ce (0.2939, 0.7500, 0.5235) [2 per cell]  2 Co 2.28-2.53
Ce (0.3088, 0.2500, 0.8884) [2 per cell]  1 Tc 2.52
Co (0.2412, 0.2500, 0.5401) [2 per cell]  2 Ce 2.28-2.53
Tc (0.2603, 0.7500, 0.9096) [2 per cell]  3 Ce 2.52-2.72

***

# 2
A plane-wave DFT calculation with PBE was carried out for a relaxed Ce2CoTc3 crystal.

formation energy: -134 meV per atom
VASP energy: -8.48 eV/atom

a = 8.4255 Å, b = 5.6091 Å, c = 5.5530 Å
α = 90.00°, β = 124.99°, γ = 90.00°
Last column: nearest neighbours and their distance in Å.
Space group C2/m (No. 12)
Inequivalent atoms, fractional coordinates:
Ce (0.1232, 0.0000, 0.3741) [4 per cell]  1 Co 2.83, 5 Tc 2.95-3.16, 1 Ce 3.10
Co (0.0000, 0.5000, 0.5000) [2 per cell]  6 Tc 2.72-2.78, 2 Ce 2.83
Tc (0.0000, 0.5000, 0.0000) [2 per cell]  4 Tc 2.53, 2 Co 2.78
Tc (0.2500, 0.2500, 0.0000) [4 per cell]  4 Tc 2.53-2.80, 2 Co 2.72

***

# 3
A plane-wave DFT calculation with PBE was carried out for a relaxed Ce2CoTc crystal.

formation energy: 399 meV per atom
VASP energy: -6.94 eV/atom

a = 3.0947 Å, b = 3.0947 Å, c = 27.9168 Å
α = 90.00°, β = 90.00°, γ = 120.00°
Last column: nearest neighbours and their distance in Å.
Space group R-3m (No. 166, hexagonal axes)
Inequivalent atoms, fractional coordinates:
Ce (0.0000, 0.0000, 0.0883) [6 per cell]  1 Tc 2.47
Co (0.0000, 0.0000, 0.5000) [3 per cell]  6 Ce 2.82, 6 Co 3.09
Tc (0.0000, 0.0000, 0.0000) [3 per cell]  2 Ce 2.47

***

# 4
A plane-wave DFT calculation with PBE was carried out for a relaxed Ce2CoTc crystal.

formation energy: -64 meV per atom
VASP energy: -7.40 eV/atom

a = 3.4378 Å, b = 3.4378 Å, c = 6.6238 Å
α = 90.00°, β = 90.00°, γ = 90.00°
Last column: nearest neighbours and their distance in Å.
Space group P4/mmm (No. 123)
Inequivalent atoms, fractional coordinates:
Ce (0.0000, 0.0000, 0.2374) [2 per cell]  4 Co 2.90, 4 Tc 2.99, 1 Ce 3.15
Co (0.5000, 0.5000, 0.0000) [1 per cell]  8 Ce 2.90
Tc (0.5000, 0.5000, 0.5000) [1 per cell]  8 Ce 2.99, 2 Co 3.31

***

# 5
A plane-wave DFT calculation with PBE was carried out for a relaxed CeThCoTc crystal.

formation energy: -42 meV per atom
VASP energy: -7.75 eV/atom

a = 6.9518 Å, b = 6.9518 Å, c = 6.9518 Å
α = 90.00°, β = 90.00°, γ = 90.00°
Last column: nearest neighbours and their distance in Å.
Space group F-43m (No. 216)
Inequivalent atoms, fractional coordinates:
Ce (0.0000, 0.0000, 0.0000) [4 per cell]  4 Co 3.01, 4 Tc 3.01
Th (0.0000, 0.0000, 0.5000) [4 per cell]  4 Tc 3.01, 4 Co 3.01
Co (0.2500, 0.2500, 0.2500) [4 per cell]  4 Th 3.01, 4 Ce 3.01
Tc (0.2500, 0.2500, 0.7500) [4 per cell]  4 Th 3.01, 4 Ce 3.01

***

# 6
A plane-wave DFT calculation with PBE was carried out for a relaxed CeTiCoTc crystal.

formation energy: -132 meV per atom
VASP energy: -7.96 eV/atom

a = 6.4553 Å, b = 6.4553 Å, c = 6.4553 Å
α = 90.00°, β = 90.00°, γ = 90.00°
Last column: nearest neighbours and their distance in Å.
Space group F-43m (No. 216)
Inequivalent atoms, fractional coordinates:
Ce (0.0000, 0.0000, 0.0000) [4 per cell]  4 Tc 2.80, 4 Co 2.80
Ti (0.0000, 0.0000, 0.5000) [4 per cell]  4 Co 2.80, 4 Tc 2.80
Co (0.2500, 0.2500, 0.7500) [4 per cell]  4 Ce 2.80, 4 Ti 2.80
Tc (0.2500, 0.2500, 0.2500) [4 per cell]  4 Ce 2.80, 4 Ti 2.80

***

# 7
A plane-wave DFT calculation with PBE was carried out for a relaxed Ce6Tl2CoTc crystal.

formation energy: -121 meV per atom
VASP energy: -5.90 eV/atom

a = 7.3763 Å, b = 7.3763 Å, c = 10.4232 Å
α = 90.00°, β = 90.00°, γ = 90.00°
Last column: nearest neighbours and their distance in Å.
Space group I4/mmm (No. 139)
Inequivalent atoms, fractional coordinates:
Ce (0.0000, 0.0000, 0.2455) [4 per cell]  1 Co 2.56, 1 Tc 2.65
Ce (0.2457, 0.2457, 0.0000) [8 per cell]  1 Co 2.56, 1 Tc 2.65
Tl (0.0000, 0.5000, 0.2500) [4 per cell]  12 Ce 3.69
Co (0.0000, 0.0000, 0.0000) [2 per cell]  6 Ce 2.56
Tc (0.0000, 0.0000, 0.5000) [2 per cell]  6 Ce 2.65

***

# 8
A plane-wave DFT calculation with PBE was carried out for a relaxed CeUCoTc crystal.

formation energy: 49 meV per atom
VASP energy: -8.62 eV/atom

a = 6.5007 Å, b = 6.5007 Å, c = 6.5007 Å
α = 90.00°, β = 90.00°, γ = 90.00°
Last column: nearest neighbours and their distance in Å.
Space group F-43m (No. 216)
Inequivalent atoms, fractional coordinates:
Ce (0.0000, 0.0000, 0.0000) [4 per cell]  4 Co 2.81, 4 U 2.81
U (0.2500, 0.2500, 0.7500) [4 per cell]  4 Ce 2.81, 4 Tc 2.81
Co (0.2500, 0.2500, 0.2500) [4 per cell]  4 Ce 2.81, 4 Tc 2.81
Tc (0.0000, 0.0000, 0.5000) [4 per cell]  4 U 2.81, 4 Co 2.81